A plane-wave DFT calculation with PBE+U was carried out for an optimized crystal structure of Sr2TlNiO4.

Summary:
Its total energy is -5.09 eV per atom. The space group is No. 15. The calculation puts the density of states at the Fermi level at 5.934 states/eV/cell. As for the total magnetization: 0.261 μB per atom.

Lattice parameters (Å, degrees): 6.8760 6.8760 7.2594 119.08 119.08 89.99
With the nearest neighbours (Å) after each atom.
Sites, in units of the cell vectors:
O  0.2416  0.7405  0.0219  1 Ni 2.24, 1 Sr 2.44, 1 Tl 2.45
Sr  0.5000  0.0000  0.0000  6 O 2.52-2.69
Sr  0.5000  0.0000  0.5000  6 O 2.52-2.69
O  0.7861  0.7326  0.0177  1 Ni 2.17
Tl  0.0000  0.0000  0.0000  4 O 2.44-2.45
O  0.7595  0.2584  0.4781  1 Ni 2.24, 1 Sr 2.44, 1 Tl 2.45
O  0.7584  0.2595  0.9781  1 Ni 2.24, 1 Sr 2.44, 1 Tl 2.45
Tl  0.5000  0.5000  0.5000  4 O 2.44-2.45
Sr  0.5000  0.5000  0.0000  6 O 2.44-2.56
Sr  0.0000  0.0000  0.5000  6 O 2.44-2.56
O  0.2405  0.7416  0.5219  1 Ni 2.24, 1 Sr 2.44, 1 Tl 2.45
O  0.2139  0.2674  0.9824  1 Ni 2.17
Ni  0.0000  0.5000  0.5000  4 O 2.17-2.24
Ni  0.0000  0.5000  0.0000  4 O 2.17-2.24
O  0.7674  0.7139  0.4824  1 Ni 2.17
O  0.2326  0.2861  0.5176  1 Ni 2.17